Below is ZnCr2O4 after structural relaxation, with properties calculated at the GGA+U level.

Cell: 5.7686 5.7686 5.7686 Å, 116.95 107.78 103.97°
Each line ends with the local moment (μB).
Atoms (fractional coordinates):
Zn (0.5000, 0.5000, 0.0000)  0.01
Zn (0.0000, 0.5000, 0.5000)  0.01
O (0.6772, 0.2300, 0.4472)  -0.04
O (0.3228, 0.7700, 0.5528)  -0.04
O (0.7173, 0.7700, 0.9472)  -0.04
O (0.2827, 0.2300, 0.0528)  -0.04
O (0.2009, 0.6774, 0.9765)  -0.05
O (0.2009, 0.2243, 0.5235)  -0.05
O (0.7991, 0.3226, 0.0235)  -0.05
O (0.7991, 0.7757, 0.4765)  -0.05
Cr (0.5000, 0.5000, 0.5000)  3.01
Cr (0.0449, 0.7949, 0.2500)  3.00
Cr (0.5000, 0.0000, 0.0000)  3.01
Cr (0.9551, 0.2051, 0.7500)  3.00

Calculated values
The value obtained for the total magnetization is 12.00 μB per cell. The offset from the most stable computed form comes out at 233 meV/atom.